No. 1
Nb3ZnGa after structural relaxation, computed with PBE.

a b c (Å): 4.696 4.696 4.696
angles (deg): 90.00 90.00 90.00
Space group Pm-3m (No. 221)
Unique sites:
Nb 0.000 0.000 0.500 (multiplicity 3)
Zn 0.000 0.000 0.000 (multiplicity 1)
Ga 0.500 0.500 0.500 (multiplicity 1)

Calculated values
Magnetic moment (μB/atom): 0.0000
Density of states at the Fermi level (states/eV/cell): 0.69
Mass density (Mg/m³): 6.6
ΔE to the lowest computed polymorph (meV/atom): 1095
Formation energy (kJ/mol of atoms): 99.31
V (Å³/cell): 103.6

---

No. 2
BaMnRh after structural relaxation, computed with PBE.

a b c (Å): 4.2958 4.2958 4.9943
angles (deg): 90.00 90.00 120.00
Space group P-6m2 (No. 187)
Unique sites:
Ba 0.0000 0.0000 0.0000 (multiplicity 1)
Mn 0.3333 0.6667 0.5000 (multiplicity 1)
Rh 0.6667 0.3333 0.5000 (multiplicity 1)

Calculated values
Magnetic moment (μB/atom): 1.3784
Density of states at the Fermi level (states/eV/cell): 1.34
Mass density (Mg/m³): 6.1
Formation energy (kJ/mol of atoms): 10.17
V (Å³/cell): 79.8

---

No. 3
K2Hg2Pb after structural relaxation, computed with PBE.

a b c (Å): 4.317 4.317 20.776
angles (deg): 90.00 90.00 90.00
Space group I4/mmm (No. 139)
Unique sites:
K 0.000 0.000 0.108 (multiplicity 4)
Hg 0.000 0.500 0.250 (multiplicity 4)
Pb 0.000 0.000 0.500 (multiplicity 2)

Calculated values
Magnetic moment (μB/atom): 0.0341
Density of states at the Fermi level (states/eV/cell): 5.59
Mass density (Mg/m³): 5.9
ΔE to the lowest computed polymorph (meV/atom): 152
Formation energy (kJ/mol of atoms): -8.28
V (Å³/cell): 387.3